{
  "formula": "Ge3Rh5",
  "functional": "SCAN",
  "state": "PBEsol geometry",
  "cell": [[-3.0221, -2.4667, -0.7871], [1.7653, -0.5477, -5.0613], [5.7901, -8.0148, 2.8867]],
  "species": ["Ge", "Ge", "Ge", "Ge", "Ge", "Ge", "Rh", "Rh", "Rh", "Rh", "Rh", "Rh", "Rh", "Rh", "Rh", "Rh"],
  "frac_coords": [[0.5000, 0.8897, 0.3495], [0.0000, 0.5000, 0.5000], [0.5000, 0.3897, 0.1505], [0.5000, 0.1103, 0.6505], [0.5000, 0.6103, 0.8495], [0.0000, 0.0000, 0.0000], [0.0000, 0.3486, 0.7191], [0.0000, 0.1514, 0.2191], [0.0000, 0.8486, 0.7809], [0.5000, 0.8300, 0.1069], [0.5000, 0.1700, 0.8931], [0.5000, 0.6700, 0.6069], [0.0000, 0.0000, 0.5000], [0.5000, 0.3300, 0.3931], [0.0000, 0.5000, 0.0000], [0.0000, 0.6514, 0.2809]],
  "sg": "Pbam, No. 55",
  "e_tot_ev_per_atom": -28.801,
  "magmom_total_mub_per_fu": 0.00,
  "ef_ev_per_atom": -0.536
}

=====

{
  "formula": "Zn3As2H8O12",
  "functional": "SCAN",
  "state": "PBEsol geometry",
  "cell": [[-4.6349, 2.6155, -0.7846], [-2.6323, -5.2147, -1.1735], [-0.8939, -0.7265, 7.4904]],
  "species": ["Zn", "Zn", "Zn", "As", "As", "H", "H", "H", "H", "H", "H", "H", "H", "O", "O", "O", "O", "O", "O", "O", "O", "O", "O", "O", "O"],
  "frac_coords": [[0.5000, 0.0000, 0.5000], [0.8156, 0.2410, 0.8999], [0.1844, 0.7590, 0.1001], [0.3395, 0.2626, 0.1308], [0.6605, 0.7374, 0.8692], [0.2507, 0.2274, 0.7275], [0.7493, 0.7726, 0.2725], [0.0940, 0.2265, 0.5358], [0.9060, 0.7735, 0.4642], [0.7514, 0.3958, 0.5405], [0.2486, 0.6042, 0.4595], [0.7647, 0.3037, 0.3348], [0.2353, 0.6963, 0.6652], [0.2184, 0.4888, 0.2393], [0.7816, 0.5112, 0.7607], [0.6502, 0.3118, 0.1132], [0.3498, 0.6882, 0.8868], [0.3110, 0.0255, 0.2499], [0.6890, 0.9745, 0.7501], [0.1756, 0.1954, 0.9299], [0.8244, 0.8046, 0.0701], [0.2678, 0.2348, 0.5965], [0.7322, 0.7652, 0.4035], [0.7808, 0.2599, 0.4614], [0.2192, 0.7401, 0.5386]],
  "sg": "P-1, No. 2",
  "e_tot_ev_per_atom": -8.637,
  "magmom_total_mub_per_fu": 0.00
}

=====

{
  "formula": "Sn2PCO6",
  "functional": "SCAN",
  "state": "PBEsol geometry",
  "cell": [[4.7033, 0.0000, -0.0352], [0.0000, 5.8334, 0.0000], [-2.0513, 0.0000, 22.0251]],
  "species": ["Sn", "Sn", "Sn", "Sn", "Sn", "Sn", "Sn", "Sn", "P", "P", "P", "P", "C", "C", "C", "C", "O", "O", "O", "O", "O", "O", "O", "O", "O", "O", "O", "O", "O", "O", "O", "O", "O", "O", "O", "O", "O", "O", "O", "O"],
  "frac_coords": [[0.2528, 0.1574, 0.6821], [0.7699, 0.1150, 0.9314], [0.2301, 0.8850, 0.0686], [0.7472, 0.6574, 0.8179], [0.7472, 0.8426, 0.3179], [0.2528, 0.3426, 0.1821], [0.2301, 0.6150, 0.5686], [0.7699, 0.3850, 0.4314], [0.7820, 0.7382, 0.1725], [0.2180, 0.2382, 0.3275], [0.2180, 0.2618, 0.8275], [0.7820, 0.7618, 0.6725], [0.5609, 0.9152, 0.4780], [0.4391, 0.0848, 0.5220], [0.4391, 0.4152, 0.0220], [0.5609, 0.5848, 0.9780], [0.8941, 0.1979, 0.3364], [0.7484, 0.5862, 0.7233], [0.2642, 0.0091, 0.5571], [0.2642, 0.4909, 0.0571], [0.6668, 0.0019, 0.6870], [0.2516, 0.4138, 0.2767], [0.4782, 0.7102, 0.4803], [0.2516, 0.0862, 0.7767], [0.7358, 0.9909, 0.4429], [0.6473, 0.6620, 0.6115], [0.6473, 0.8380, 0.1115], [0.5218, 0.2898, 0.5197], [0.1059, 0.8021, 0.6636], [0.8941, 0.3021, 0.8364], [0.6668, 0.4981, 0.1870], [0.3332, 0.5019, 0.8130], [0.3332, 0.9981, 0.3130], [0.7484, 0.9138, 0.2233], [0.7358, 0.5091, 0.9429], [0.1059, 0.6979, 0.1636], [0.4782, 0.7898, 0.9803], [0.3527, 0.1620, 0.8885], [0.3527, 0.3380, 0.3885], [0.5218, 0.2102, 0.0197]],
  "sg": "P2_1/c, No. 14",
  "e_tot_ev_per_atom": -14.711,
  "magmom_total_mub_per_fu": 0.00,
  "e_form_raw_ev_per_atom": -1.738
}

=====

{
  "formula": "Na3B2PO5F4",
  "functional": "SCAN",
  "state": "PBEsol geometry",
  "cell": [[6.5143, -0.0107, 0.0000], [-1.8783, 8.6300, 0.0000], [0.0000, 0.0000, 12.1594]],
  "species": ["Na", "Na", "Na", "Na", "Na", "Na", "Na", "Na", "Na", "Na", "Na", "Na", "B", "B", "B", "B", "B", "B", "B", "B", "P", "P", "P", "P", "O", "O", "O", "O", "O", "O", "O", "O", "O", "O", "O", "O", "O", "O", "O", "O", "O", "O", "O", "O", "F", "F", "F", "F", "F", "F", "F", "F", "F", "F", "F", "F", "F", "F", "F", "F"],
  "frac_coords": [[0.8873, 0.5891, 0.7296], [0.3873, 0.0891, 0.7704], [0.1127, 0.4109, 0.2704], [0.6127, 0.9109, 0.2296], [0.8326, 0.6635, 0.4192], [0.3326, 0.1635, 0.0808], [0.1674, 0.3365, 0.5808], [0.6674, 0.8365, 0.9192], [0.7116, 0.5423, 0.1417], [0.2116, 0.0423, 0.3583], [0.2884, 0.4577, 0.8583], [0.7884, 0.9577, 0.6417], [0.7990, 0.1281, 0.4351], [0.2990, 0.6281, 0.0649], [0.2010, 0.8719, 0.5649], [0.7010, 0.3719, 0.9351], [0.6451, 0.3046, 0.5537], [0.1451, 0.8046, 0.9463], [0.3549, 0.6954, 0.4463], [0.8549, 0.1954, 0.0537], [0.5846, 0.3094, 0.3378], [0.0846, 0.8094, 0.1622], [0.4154, 0.6906, 0.6622], [0.9154, 0.1906, 0.8378], [0.6597, 0.1481, 0.3443], [0.1597, 0.6481, 0.1557], [0.3403, 0.8519, 0.6557], [0.8403, 0.3519, 0.8443], [0.5109, 0.3294, 0.4607], [0.0109, 0.8294, 0.0393], [0.4891, 0.6706, 0.5393], [0.9891, 0.1706, 0.9607], [0.7392, 0.1733, 0.5403], [0.2392, 0.6733, 0.9597], [0.2608, 0.8267, 0.4597], [0.7608, 0.3267, 0.0403], [0.7670, 0.4400, 0.3079], [0.2670, 0.9400, 0.1921], [0.2330, 0.5600, 0.6921], [0.7330, 0.0600, 0.8079], [0.3957, 0.2851, 0.2632], [0.8957, 0.7851, 0.2368], [0.6043, 0.7149, 0.7368], [0.1043, 0.2149, 0.7632], [0.8079, 0.4434, 0.5696], [0.3079, 0.9434, 0.9304], [0.1921, 0.5566, 0.4304], [0.6921, 0.0566, 0.0696], [0.5151, 0.2901, 0.6490], [0.0151, 0.7901, 0.8510], [0.4849, 0.7099, 0.3510], [0.9849, 0.2099, 0.1490], [0.0123, 0.2146, 0.4089], [0.5123, 0.7146, 0.0911], [0.9877, 0.7854, 0.5911], [0.4877, 0.2854, 0.9089], [0.8137, 0.9689, 0.4357], [0.3137, 0.4689, 0.0643], [0.1863, 0.0311, 0.5643], [0.6863, 0.5311, 0.9357]],
  "sg": "P2_1/c, No. 14",
  "e_tot_ev_per_atom": -8.335,
  "de_polymorph_mev_per_atom": 0.0,
  "magmom_total_mub_per_fu": 0.07,
  "e_form_raw_ev_per_atom": -2.787
}